# Sr2Ag2Bi

A geometry-optimized Sr2Ag2Bi structure (PBEsol, Alexandria via LeMat-Bulk).

a = 7.8631 Å, b = 7.8631 Å, c = 4.5857 Å
α = 90.00°, β = 90.00°, γ = 90.00°
Last column: nearest neighbours and their distance in Å.
Space group P4/mbm (No. 127)
Unique sites:
Sr  0.1825  0.3175  0.0000  6 Ag 3.17-3.34
Ag  0.1202  0.6202  0.5000  1 Ag 2.67
Bi  0.0000  0.0000  0.5000  4 Ag 3.13

DOS(E_F), states/eV per cell: 3.38
Formation enthalpy at 0 K, eV per formula unit: -2.20



# CdInAg2

A geometry-optimized CdInAg2 structure (PBEsol, Alexandria via LeMat-Bulk).

a = 4.3209 Å, b = 4.3209 Å, c = 7.9876 Å
α = 90.00°, β = 90.00°, γ = 90.00°
Last column: nearest neighbours and their distance in Å.
Space group I4/mmm (No. 139)
Unique sites:
Cd  0.0000  0.0000  0.0000  8 Ag 2.94, 4 In 3.06
In  0.0000  0.0000  0.5000  8 Ag 2.94, 4 Cd 3.06
Ag  0.0000  0.5000  0.2500  4 Cd 2.94, 4 In 2.94, 4 Ag 3.06

DOS(E_F), states/eV per cell: 2.32
Formation enthalpy at 0 K, eV per formula unit: -0.14